Record 1
# Ac2NiAsPt6, optimized geometry, DFT PBE
# E_form: -0.78 eV per atom
# Calculated total energy: -62.7 eV/cell
# Total magnetization: 0.00 μB per formula unit
# V: 211.7 Å³ per cell
data_Ac2NiAsPt6
_cell_length_a 6.685
_cell_length_b 6.862
_cell_length_c 8.438
_cell_angle_alpha 50.55
_cell_angle_beta 52.42
_cell_angle_gamma 83.52
_space_group_name_H-M_alt 'P 1'
_space_group_IT_number 1
_space_group_name_Hall 'P 1'
loop_
_atom_site_label
_atom_site_fract_x
_atom_site_fract_y
_atom_site_fract_z
_atom_site_occupancy
Pt1 0.748 0.765 0.499 1
Pt2 0.246 0.753 0.866 1
Pt3 0.252 0.235 0.501 1
Pt4 0.765 0.748 0.988 1
Pt5 0.235 0.252 0.012 1
Pt6 0.754 0.247 0.134 1
Ni1 0.000 0.000 0.000 1
Ac1 0.735 0.265 0.539 1
Ac2 0.265 0.735 0.461 1
As1 0.500 0.500 0.000 1


Record 2
# PmPrInRu, optimized geometry, DFT PBE
# E_form: -0.30 eV per atom
# Calculated total energy: -22.8 eV/cell
# Total magnetization: 0.00 μB per formula unit
# Offset from the most stable computed form: 0 meV per atom
# V: 103.8 Å³ per cell
data_PmPrInRu
_cell_length_a 3.461
_cell_length_b 3.461
_cell_length_c 8.661
_cell_angle_alpha 90.00
_cell_angle_beta 90.00
_cell_angle_gamma 90.00
_space_group_name_H-M_alt 'P 1'
_space_group_IT_number 1
_space_group_name_Hall 'P 1'
loop_
_atom_site_label
_atom_site_fract_x
_atom_site_fract_y
_atom_site_fract_z
_atom_site_occupancy
Pm1 0.500 0.500 0.368 1
In1 0.000 0.000 0.075 1
Ru1 0.000 0.000 0.567 1
Pr1 0.500 0.500 0.775 1


Record 3
# ZnCd2P, optimized geometry, DFT PBE
# E_form: 0.18 eV per atom
# Calculated total energy: -7.8 eV/cell
# Total magnetization: 0.00 μB per formula unit
# Offset from the most stable computed form: 86 meV per atom
# V: 87.3 Å³ per cell
data_ZnCd2P
_cell_length_a 6.539
_cell_length_b 6.539
_cell_length_c 6.539
_cell_angle_alpha 36.20
_cell_angle_beta 36.20
_cell_angle_gamma 36.20
_space_group_name_H-M_alt 'P 1'
_space_group_IT_number 1
_space_group_name_Hall 'P 1'
loop_
_atom_site_label
_atom_site_fract_x
_atom_site_fract_y
_atom_site_fract_z
_atom_site_occupancy
Cd1 0.240 0.240 0.240 1
Cd2 0.760 0.760 0.760 1
P1 0.500 0.500 0.500 1
Zn1 0.000 0.000 0.000 1


Record 4
# SmTl5, optimized geometry, DFT PBE
# E_form: -0.10 eV per atom
# Calculated total energy: -17.2 eV/cell
# Total magnetization: 0.00 μB per formula unit
# V: 173.8 Å³ per cell
data_SmTl5
_cell_length_a 4.949
_cell_length_b 4.654
_cell_length_c 7.896
_cell_angle_alpha 107.14
_cell_angle_beta 90.00
_cell_angle_gamma 90.00
_space_group_name_H-M_alt 'P 1'
_space_group_IT_number 1
_space_group_name_Hall 'P 1'
loop_
_atom_site_label
_atom_site_fract_x
_atom_site_fract_y
_atom_site_fract_z
_atom_site_occupancy
Tl1 0.500 0.834 0.668 1
Tl2 0.500 0.166 0.332 1
Tl3 0.000 0.669 0.337 1
Tl4 0.500 0.500 0.000 1
Tl5 0.000 0.331 0.663 1
Sm1 0.000 0.000 0.000 1


Record 5
# PrUIr4, optimized geometry, DFT PBE
# E_form: -0.56 eV per atom
# Calculated total energy: -54.8 eV/cell
# Total magnetization: 2.13 μB per formula unit
# V: 111.2 Å³ per cell
data_PrUIr4
_cell_length_a 5.397
_cell_length_b 5.397
_cell_length_c 5.397
_cell_angle_alpha 60.00
_cell_angle_beta 60.00
_cell_angle_gamma 60.00
_space_group_name_H-M_alt 'P 1'
_space_group_IT_number 1
_space_group_name_Hall 'P 1'
loop_
_atom_site_label
_atom_site_fract_x
_atom_site_fract_y
_atom_site_fract_z
_atom_site_occupancy
Ir1 0.124 0.625 0.625 1
Ir2 0.625 0.625 0.124 1
Ir3 0.625 0.124 0.625 1
Ir4 0.625 0.625 0.625 1
Pr1 0.250 0.250 0.250 1
U1 0.000 0.000 0.000 1


Record 6
# ZrTa3, optimized geometry, DFT PBE
# E_form: 0.16 eV per atom
# Calculated total energy: -86.9 eV/cell
# Total magnetization: 0.00 μB per formula unit
# Offset from the most stable computed form: 79 meV per atom
# V: 156.7 Å³ per cell
data_ZrTa3
_cell_length_a 5.392
_cell_length_b 5.392
_cell_length_c 5.392
_cell_angle_alpha 90.00
_cell_angle_beta 90.00
_cell_angle_gamma 90.00
_space_group_name_H-M_alt 'P 1'
_space_group_IT_number 1
_space_group_name_Hall 'P 1'
loop_
_atom_site_label
_atom_site_fract_x
_atom_site_fract_y
_atom_site_fract_z
_atom_site_occupancy
Zr1 0.500 0.500 0.500 1
Zr2 0.000 0.000 0.000 1
Ta1 0.750 0.500 0.000 1
Ta2 0.250 0.500 0.000 1
Ta3 0.500 0.000 0.250 1
Ta4 0.000 0.250 0.500 1
Ta5 0.000 0.750 0.500 1
Ta6 0.500 0.000 0.750 1


Record 7
# Tl2TeAs, optimized geometry, DFT PBE
# Calculated total energy: -11.7 eV/cell
# E_form (uncorrected): 198 meV/atom
# Total magnetization: 0.00 μB per formula unit
# Offset from the most stable computed form: 190 meV per atom
# V: 113.6 Å³ per cell
data_Tl2TeAs
_cell_length_a 3.350
_cell_length_b 3.350
_cell_length_c 10.125
_cell_angle_alpha 90.00
_cell_angle_beta 90.00
_cell_angle_gamma 90.00
_space_group_name_H-M_alt 'P 1'
_space_group_IT_number 1
_space_group_name_Hall 'P 1'
loop_
_atom_site_label
_atom_site_fract_x
_atom_site_fract_y
_atom_site_fract_z
_atom_site_occupancy
Tl1 0.000 0.000 0.984 1
Tl2 0.500 0.500 0.290 1
Te1 0.500 0.500 0.728 1
As1 0.000 0.000 0.498 1


Record 8
# U2PC, optimized geometry, DFT PBE
# E_form: -0.40 eV per atom
# Calculated total energy: -155.2 eV/cell
# Total magnetization: 1.86 μB per formula unit
# Offset from the most stable computed form: 92 meV per atom
# V: 290.5 Å³ per cell
data_U2PC
_cell_length_a 5.316
_cell_length_b 5.316
_cell_length_c 10.281
_cell_angle_alpha 90.01
_cell_angle_beta 90.00
_cell_angle_gamma 90.00
_space_group_name_H-M_alt 'P 1'
_space_group_IT_number 1
_space_group_name_Hall 'P 1'
loop_
_atom_site_label
_atom_site_fract_x
_atom_site_fract_y
_atom_site_fract_z
_atom_site_occupancy
P1 0.750 0.000 0.625 1
P2 0.750 0.500 0.875 1
P3 0.250 0.500 0.125 1
P4 0.250 0.000 0.375 1
U1 0.250 0.000 0.642 1
U2 0.750 0.500 0.143 1
U3 0.750 0.000 0.358 1
U4 0.250 0.000 0.107 1
U5 0.750 0.000 0.893 1
U6 0.750 0.500 0.607 1
U7 0.250 0.500 0.393 1
U8 0.250 0.500 0.857 1
C1 0.751 0.000 0.125 1
C2 0.249 0.500 0.625 1
C3 0.249 0.000 0.875 1
C4 0.751 0.500 0.375 1